Density functional theory data (PBE-GGA) for a relaxed structure of Pr3ErTm3S8.

```
Pr3ErTm3S8
1.0
3.9237 2.2653 6.6054
-3.9237 2.2653 6.6054
0.0000 -4.5307 6.6054
Pr Er Tm S
3 1 3 8
Direct
0.0000 0.5000 0.5000
0.5000 0.0000 0.5000
0.5000 0.5000 0.0000
0.5000 0.5000 0.5000
0.0000 0.0000 0.5000
0.0000 0.5000 0.0000
0.5000 0.0000 0.0000
0.2390 0.7454 0.7454
0.2420 0.2420 0.2420
0.2546 0.2546 0.7610
0.2546 0.7610 0.2546
0.7454 0.2390 0.7454
0.7454 0.7454 0.2390
0.7580 0.7580 0.7580
0.7610 0.2546 0.2546
```

formation energy (no corrections)	-2.04	eV/atom
space group	R-3m, No. 166

***

Density functional theory data (PBE-GGA) for a relaxed structure of PmDy2Ti.

```
PmDy2Ti
1.0
3.3998 0.0000 0.0000
0.0000 3.3998 0.0000
0.0000 0.0000 9.7588
Pm Dy Ti
1 2 1
Direct
0.0000 0.0000 0.0000
0.5000 0.5000 0.2862
0.5000 0.5000 0.7138
0.0000 0.0000 0.5000
```

distance to the lowest polymorph of the same formula	0.00	eV/f.u.
space group	P4/mmm, No. 123

***

Density functional theory data (PBE-GGA) for a relaxed structure of CaCo2Rh2.

```
CaCo2Rh2
1.0
-2.0888 2.0888 4.8187
2.0888 -2.0888 4.8187
2.0888 2.0888 -4.8187
Ca Co Rh
1 2 2
Direct
0.0000 0.0000 0.0000
0.3839 0.3839 0.0000
0.6161 0.6161 0.0000
0.2500 0.7500 0.5000
0.7500 0.2500 0.5000
```

distance to the lowest polymorph of the same formula	0.00	eV/f.u.
space group	I4/mmm, No. 139

***

Density functional theory data (PBE-GGA) for a relaxed structure of Y2ZrPt2.

```
Y2ZrPt2
1.0
8.3218 0.0000 0.0000
0.0000 8.3218 0.0000
0.0000 0.0000 3.2046
Y Zr Pt
4 2 4
Direct
0.1439 0.3561 0.0000
0.3561 0.8561 0.0000
0.6439 0.1439 0.0000
0.8561 0.6439 0.0000
0.0000 0.0000 0.0000
0.5000 0.5000 0.0000
0.1566 0.6566 0.5000
0.3434 0.1566 0.5000
0.6566 0.8434 0.5000
0.8434 0.3434 0.5000
```

distance to the lowest polymorph of the same formula	1.80	eV/f.u.
space group	P4/mbm, No. 127

***

Density functional theory data (PBE-GGA) for a relaxed structure of VSiRu.

```
VSiRu
1.0
-1.4549 1.4549 4.5962
1.4549 -1.4549 4.5962
1.4549 1.4549 -4.5962
V Si Ru
1 1 1
Direct
0.0000 0.0000 0.0000
0.6691 0.6691 0.0000
0.3234 0.3234 0.0000
```

formation energy (no corrections)	-0.48	eV/atom
space group	I4mm, No. 107

***

Density functional theory data (PBE-GGA) for a relaxed structure of LiTb2Ge4Pt3.

```
LiTb2Ge4Pt3
1.0
4.1546 0.0000 0.0000
0.0000 4.1546 0.0000
0.0000 0.0000 10.7938
Li Tb Ge Pt
1 2 4 3
Direct
0.0000 0.0000 0.0000
0.0000 0.5000 0.7596
0.5000 0.0000 0.2404
0.0000 0.0000 0.5000
0.0000 0.5000 0.1345
0.5000 0.0000 0.8655
0.5000 0.5000 0.5000
0.0000 0.5000 0.3627
0.5000 0.0000 0.6373
0.5000 0.5000 0.0000
```

space group	P-4m2, No. 115

***

Density functional theory data (PBE-GGA) for a relaxed structure of Nd7YEr12.

```
Nd7YEr12
1.0
5.9758 3.4501 5.4172
-5.9758 3.4501 5.4172
0.0000 -6.9003 5.4172
Nd Y Er
7 1 12
Direct
0.0000 0.0000 0.0000
0.1016 0.4226 0.3437
0.3437 0.1016 0.4226
0.4226 0.3437 0.1016
0.5774 0.6563 0.8984
0.6563 0.8984 0.5774
0.8984 0.5774 0.6563
0.5000 0.5000 0.5000
0.0031 0.8820 0.3656
0.1180 0.6344 0.9969
0.2267 0.3542 0.7549
0.2451 0.7733 0.6458
0.3542 0.7549 0.2267
0.3656 0.0031 0.8820
0.6344 0.9969 0.1180
0.6458 0.2451 0.7733
0.7549 0.2267 0.3542
0.7733 0.6459 0.2451
0.8820 0.3656 0.0031
0.9969 0.1180 0.6344
```

distance to the lowest polymorph of the same formula	0.00	eV/f.u.
space group	R-3, No. 148

***

Density functional theory data (PBE-GGA) for a relaxed structure of UPaMn.

```
UPaMn
1.0
-1.6400 1.6400 5.4338
1.6400 -1.6400 5.4338
1.6400 1.6400 -5.4338
U Pa Mn
1 1 1
Direct
0.0000 0.0000 0.0000
0.2933 0.2933 0.0000
0.5892 0.5892 0.0000
```

distance to the lowest polymorph of the same formula	0.28	eV/f.u.
space group	I4mm, No. 107

***

Density functional theory data (PBE-GGA) for a relaxed structure of LiCu2Pb.

```
LiCu2Pb
1.0
4.5415 -1.9044 0.0000
4.5415 1.9044 0.0000
-1.9844 0.0000 3.7823
Li Cu Pb
1 2 1
Direct
0.0000 0.0000 0.0000
0.4778 0.4778 0.4766
0.7620 0.7620 0.2616
0.2330 0.2330 0.7324
```

space group	Cm, No. 8

***

Density functional theory data (PBE-GGA) for a relaxed structure of Rb3Ag2BiI9.

```
Rb3Ag2BiI9
1.0
8.4678 0.0000 0.0000
-4.2339 7.3334 0.0000
0.0000 0.0000 10.4920
Rb Ag Bi I
3 2 1 9
Direct
0.0000 0.0000 0.0000
0.3333 0.6667 0.6933
0.6667 0.3333 0.3067
0.3333 0.6667 0.1528
0.6667 0.3333 0.8472
0.0000 0.0000 0.5000
0.0000 0.5000 0.0000
0.1700 0.3399 0.3279
0.1700 0.8300 0.3279
0.3399 0.1700 0.6721
0.5000 0.0000 0.0000
0.5000 0.5000 0.0000
0.6601 0.8300 0.3279
0.8300 0.1700 0.6721
0.8300 0.6601 0.6721
```

formation energy (no corrections)	-0.74	eV/atom
space group	P-3m1, No. 164

***

Density functional theory data (PBE-GGA) for a relaxed structure of Dy2Ga2CuRh5.

```
Dy2Ga2CuRh5
1.0
9.7477 0.0000 0.0000
0.0000 9.7477 0.0000
0.0000 0.0000 3.5183
Dy Ga Cu Rh
4 4 2 10
Direct
0.1734 0.3266 0.0000
0.3266 0.8266 0.0000
0.6734 0.1734 0.0000
0.8266 0.6734 0.0000
0.1266 0.6266 0.0000
0.3734 0.1266 0.0000
0.6266 0.8734 0.0000
0.8734 0.3734 0.0000
0.0000 0.0000 0.0000
0.5000 0.5000 0.0000
0.0000 0.5000 0.5000
0.0661 0.7999 0.5000
0.2001 0.0661 0.5000
0.2999 0.5661 0.5000
0.4339 0.2999 0.5000
0.5000 0.0000 0.5000
0.5661 0.7001 0.5000
0.7001 0.4339 0.5000
0.7999 0.9339 0.5000
0.9339 0.2001 0.5000
```

space group	P4/mbm, No. 127

***

Density functional theory data (PBE-GGA) for a relaxed structure of Li2LaMn.

```
Li2LaMn
1.0
3.4183 0.0000 0.0000
0.0000 3.4183 0.0000
0.0000 0.0000 7.5407
Li La Mn
2 1 1
Direct
0.0000 0.0000 0.1879
0.0000 0.0000 0.8121
0.5000 0.5000 0.5000
0.5000 0.5000 0.0000
```

distance to the lowest polymorph of the same formula	0.50	eV/f.u.
space group	P4/mmm, No. 123

***

Density functional theory data (PBE-GGA) for a relaxed structure of LiSmHo2Se4.

```
LiSmHo2Se4
1.0
7.0628 0.0000 0.0000
0.0000 4.0566 0.0000
-2.3264 0.0000 6.6692
Li Sm Ho Se
1 1 2 4
Direct
0.0000 0.0000 0.0000
0.0000 0.5000 0.5000
0.5000 0.0000 0.5000
0.5000 0.5000 0.0000
0.2495 0.5000 0.2430
0.2528 0.0000 0.7604
0.7472 0.0000 0.2396
0.7505 0.5000 0.7570
```

formation energy (no corrections)	-1.74	eV/atom
space group	P2/m, No. 10

***

Density functional theory data (PBE-GGA) for a relaxed structure of Be2SbPt.

```
Be2SbPt
1.0
1.9965 1.1527 4.5625
-1.9965 1.1527 4.5625
0.0000 -2.3054 4.5625
Be Sb Pt
2 1 1
Direct
0.1942 0.1942 0.1942
0.8058 0.8058 0.8058
0.0000 0.0000 0.0000
0.5000 0.5000 0.5000
```

formation energy (no corrections)	-0.05	eV/atom
space group	R-3m, No. 166

***

Density functional theory data (PBE-GGA) for a relaxed structure of RePb3Cl.

```
RePb3Cl
1.0
5.3269 0.0000 0.0000
0.0000 5.3269 0.0000
0.0000 0.0000 5.3269
Re Pb Cl
1 3 1
Direct
0.0000 0.0000 0.0000
0.0000 0.0000 0.5000
0.0000 0.5000 0.0000
0.5000 0.0000 0.0000
0.5000 0.5000 0.5000
```

distance to the lowest polymorph of the same formula	0.00	eV/f.u.
formation energy (no corrections)	0.05	eV/atom
space group	Pm-3m, No. 221

***

Density functional theory data (PBE-GGA) for a relaxed structure of CsScPb2.

```
CsScPb2
1.0
1.8610 1.0744 11.1115
-1.8610 1.0744 11.1115
0.0000 -2.1488 11.1115
Cs Sc Pb
1 1 2
Direct
0.0000 0.0000 0.0000
0.5000 0.5000 0.5000
0.2367 0.2367 0.2367
0.7633 0.7633 0.7633
```

distance to the lowest polymorph of the same formula	0.62	eV/f.u.
space group	R-3m, No. 166

***

Density functional theory data (PBE-GGA) for a relaxed structure of LiPdBr.

```
LiPdBr
1.0
0.0000 3.0970 3.0970
3.0970 0.0000 3.0970
3.0970 3.0970 0.0000
Li Pd Br
1 1 1
Direct
0.0000 0.0000 0.0000
0.7500 0.7500 0.7500
0.5000 0.5000 0.5000
```

distance to the lowest polymorph of the same formula	0.67	eV/f.u.
formation energy (no corrections)	-0.42	eV/atom
space group	F-43m, No. 216

***

Density functional theory data (PBE-GGA) for a relaxed structure of Li5Zn8Pt.

```
Li5Zn8Pt
1.0
-3.8680 3.8680 3.6715
3.8680 -3.8680 3.6715
3.8680 3.8680 -3.6715
Li Zn Pt
5 8 1
Direct
0.0000 0.0000 0.0000
0.2885 0.5824 0.0822
0.4176 0.4998 0.7061
0.5002 0.2063 0.9178
0.7937 0.7115 0.2939
0.0155 0.4122 0.2840
0.0615 0.1260 0.6783
0.1282 0.7315 0.7160
0.2685 0.9845 0.3967
0.4478 0.3833 0.3217
0.5878 0.8718 0.6033
0.6167 0.9385 0.0645
0.8740 0.5522 0.9355
0.7500 0.2500 0.5000
```

space group	I-4, No. 82

***

Density functional theory data (PBE-GGA) for a relaxed structure of SnPPd3.

```
SnPPd3
1.0
4.8987 0.0000 0.0000
0.0000 4.8987 0.0000
0.0000 0.0000 4.8987
Sn P Pd
1 1 3
Direct
0.0000 0.0000 0.0000
0.5000 0.5000 0.5000
0.0000 0.0000 0.5000
0.0000 0.5000 0.0000
0.5000 0.0000 0.0000
```

distance to the lowest polymorph of the same formula	6.21	eV/f.u.
space group	Pm-3m, No. 221

***

Density functional theory data (PBE-GGA) for a relaxed structure of ThGaCo4H6.

```
ThGaCo4H6
1.0
4.2904 0.0000 0.0000
-2.1452 3.7156 0.0000
0.0000 0.0000 6.6402
Th Ga Co H
1 1 4 6
Direct
0.0000 0.0000 0.0000
0.0000 0.0000 0.5000
0.3333 0.6667 0.3212
0.3333 0.6667 0.6788
0.6667 0.3333 0.3212
0.6667 0.3333 0.6788
0.0000 0.5000 0.1628
0.0000 0.5000 0.8372
0.5000 0.0000 0.1628
0.5000 0.0000 0.8372
0.5000 0.5000 0.1628
0.5000 0.5000 0.8372
```

space group	P6/mmm, No. 191

***

Density functional theory data (PBE-GGA) for a relaxed structure of AcPr5Se8.

```
AcPr5Se8
1.0
-4.5333 4.5333 4.5656
4.5333 -4.5333 4.5656
4.5333 4.5333 -4.5656
Ac Pr Se
1 5 8
Direct
0.0000 0.0000 0.0000
0.1257 0.2612 0.6351
0.2500 0.7500 0.5000
0.5095 0.8743 0.1356
0.6261 0.4905 0.3649
0.7388 0.3739 0.8644
0.0256 0.6205 0.7495
0.2288 0.4813 0.1047
0.3766 0.1242 0.8953
0.3795 0.1289 0.4051
0.5187 0.6234 0.7475
0.7238 0.9744 0.5949
0.8711 0.2762 0.2505
0.8758 0.7712 0.2525
```

formation energy (no corrections)	-1.88	eV/atom
space group	I-4, No. 82

***

Density functional theory data (PBE-GGA) for a relaxed structure of TeIF2.

```
TeIF2
1.0
-2.3929 2.3929 7.6048
2.3929 -2.3929 7.6048
2.3929 2.3929 -7.6048
Te I F
2 2 4
Direct
0.3750 0.6250 0.7500
0.6250 0.3750 0.2500
0.1250 0.8750 0.2500
0.8750 0.1250 0.7500
0.0000 0.5000 0.5000
0.5000 0.0000 0.0000
0.5000 0.5000 0.0000
0.5000 0.5000 0.5000
```

distance to the lowest polymorph of the same formula	0.97	eV/f.u.
formation energy (no corrections)	-0.88	eV/atom
space group	I4_1/amd, No. 141

***

Density functional theory data (PBE-GGA) for a relaxed structure of Hf3TcO.

```
Hf3TcO
1.0
4.9643 0.0000 0.0000
0.0000 4.9643 0.0000
0.0000 0.0000 4.9643
Hf Tc O
3 1 1
Direct
0.0000 0.0000 0.5000
0.0000 0.5000 0.0000
0.5000 0.0000 0.0000
0.0000 0.0000 0.0000
0.5000 0.5000 0.5000
```

distance to the lowest polymorph of the same formula	9.01	eV/f.u.
formation energy (no corrections)	0.81	eV/atom
space group	Pm-3m, No. 221

***

Density functional theory data (PBE-GGA) for a relaxed structure of Ac8AlAg2.

```
Ac8AlAg2
1.0
9.9486 -2.8445 0.0000
9.9486 2.8445 0.0000
-2.4311 0.0000 7.3039
Ac Al Ag
8 1 2
Direct
0.0261 0.0261 0.2816
0.1974 0.1974 0.8275
0.3297 0.3297 0.5141
0.4087 0.4087 0.0388
0.5913 0.5913 0.9612
0.6703 0.6703 0.4859
0.8026 0.8026 0.1725
0.9739 0.9739 0.7184
0.5000 0.5000 0.5000
0.1776 0.1776 0.2221
0.8224 0.8224 0.7779
```

space group	C2/m, No. 12

***

For each record above, in turn, the calculated final energy values are -0.46973 -0.38958 -0.45467 -0.53738 -0.61883 -0.41363 -0.33068 -0.72174 -0.25115 -0.18413 -0.45876 -0.30253 -0.40110 -0.32750 -0.37014 -0.27454 -0.24578 -0.14474 -0.30690 -0.37791 -0.43150 -0.21988 -0.60482 -0.28953 Ry per atom.